Arrangement a

VASP calculation (GGA-PBE) on an optimized crystal structure of LaTeSeI2.

The density of states at the Fermi level comes out at 6.5 states/eV/cell.

It has space group P4/mmm (No. 123), with a = 5.725 Å, b = 5.725 Å, c = 5.534 Å, α = 90.00°, β = 90.00° and γ = 90.00°. The inequivalent atoms are La at (0.000, 0.000, 0.000), Te at (0.500, 0.500, 0.000), Se at (0.500, 0.500, 0.500) and I at (0.000, 0.500, 0.500).

***

Arrangement b

VASP calculation (GGA-PBE) on an optimized crystal structure of LaTeSeI2.

The density of states at the Fermi level comes out at 2.6 states/eV/cell.

It has space group P4/mmm (No. 123), with a = 6.241 Å, b = 6.241 Å, c = 6.389 Å, α = 90.00°, β = 90.00° and γ = 90.00°. The inequivalent atoms are La at (0.000, 0.000, 0.000), Te at (0.000, 0.000, 0.500), Se at (0.500, 0.500, 0.500) and I at (0.000, 0.500, 0.000).

***

Which structure is most stable, and how do the rest compare? From most to least stable: arrangement b, arrangement a.